MgIn2GaHg4 | GGA-PBE | optimized geometry

Cell: 7.2730 7.2730 7.2730 Å, 131.27 131.27 71.39°
Last column: nearest neighbours and their distance in Å.
Atoms (fractional coordinates):
Mg1 0.0000 0.0000 0.0000  6 Hg 2.88-3.00
In1 0.5000 0.5000 0.0000  6 Hg 3.00-3.03
In2 0.7500 0.2500 0.5000  6 Hg 3.00-3.08
Ga1 0.2500 0.7500 0.5000  6 Hg 2.83-3.00
Hg1 0.0105 0.5105 0.5000  1 Ga 2.83, 3 In 3.00-3.08, 2 Mg 3.00
Hg2 0.2438 0.2438 0.0000  1 Mg 2.88, 3 In 3.00-3.03, 2 Ga 3.00
Hg3 0.4895 0.9895 0.5000  1 Ga 2.83, 3 In 3.00-3.08, 2 Mg 3.00
Hg4 0.7562 0.7562 0.0000  1 Mg 2.88, 3 In 3.00-3.03, 2 Ga 3.00

formation enthalpy at 0 K: 0.0253 eV/atom
Fermi-level density of states: 0.342 states/eV/atom